{
  "formula": "Ce2Mg",
  "functional": "GGA-PBEsol",
  "state": "relaxed",
  "formation_enthalpy_0k_ev_per_fu": 0.1,
  "lattice_angstrom": [[3.0624, 0.0000, 0.0000], [-1.5312, 5.9430, -0.3489], [0.0000, -2.6802, 7.9825]],
  "species": ["Mg", "Mg", "Ce", "Ce", "Ce", "Ce"],
  "fractional_positions": [[0.3793, 0.7586, 0.2285], [0.0105, 0.0209, 0.5516], [0.0596, 0.1191, 0.0648], [0.6940, 0.3881, 0.3880], [0.3281, 0.6563, 0.7107], [0.6952, 0.3904, 0.8897]]
}